# 1
# Rb2NiAsSe4

A relaxed structure of Rb2NiAsSe4 (PBE-GGA, the Alexandria database).

Cell and atoms, written as POSCAR:
```
Rb2NiAsSe4
1.0
6.518 0.000 0.000
3.259 6.992 0.000
3.259 0.000 11.815
Se As Ni Rb
8 2 2 4
Cartesian
6.540 2.123 7.056
3.237 2.123 4.760
11.428 5.619 10.667
9.755 4.869 7.056
6.540 4.869 4.760
4.867 5.619 1.148
4.867 1.373 10.667
4.910 1.373 1.148
3.259 0.000 0.000
4.888 3.496 5.908
0.000 0.000 0.000
8.147 3.496 5.908
8.147 3.496 10.082
3.259 0.000 7.641
6.518 0.000 4.174
8.147 3.496 1.733
```

Properties
Spin magnetization   1.6 μB per formula unit
Formation energy without anion corrections   -376 kJ/mol of formula units
Density   3.83 Mg/m³
Symmetry   Fddd
N(E_F)   11.12 states/eV per cell

---

# 2
# Tb2Ge4Mo3

A relaxed structure of Tb2Ge4Mo3 (PBE-GGA, the Alexandria database).

Cell and atoms, written as POSCAR:
```
Tb2Ge4Mo3
1.0
-1.237 -0.869 -6.771
3.428 -5.590 2.467
-6.164 -3.107 1.525
Tb Mo Ge
4 6 8
Cartesian
-0.475 -1.646 0.348
-3.498 -7.920 -3.128
-1.912 -6.998 0.019
-2.060 -2.569 -2.798
-0.469 -5.913 -2.720
-3.503 -3.654 -0.060
-5.262 -4.664 -3.163
1.290 -4.903 0.384
-1.368 -4.349 1.996
1.096 -3.230 -2.152
-5.999 -3.788 -0.754
-0.961 -4.271 -0.690
-4.121 -2.965 -4.757
-0.186 -4.003 -4.421
-3.787 -5.564 1.641
0.149 -6.602 1.977
2.026 -5.778 -2.026
-3.011 -5.296 -2.090
```

Properties
DFT formation energy   -0.5317 eV per atom
Spin magnetization   0.0 μB per formula unit
Density   9.18 Mg/m³
Symmetry   P2_1/c
N(E_F)   8.94 states/eV per cell

---

# 3
# Zr4InCu

A relaxed structure of Zr4InCu (PBE-GGA, the Alexandria database).

Cell and atoms, written as POSCAR:
```
Zr4InCu
1.0
5.540 0.000 0.000
0.000 6.815 0.000
0.000 0.000 6.815
In Zr Cu
2 8 2
Cartesian
1.385 0.000 0.000
4.155 0.000 0.000
2.770 2.456 5.674
2.770 1.142 2.456
0.000 1.142 4.359
0.000 2.456 1.142
2.770 4.359 1.142
0.000 4.359 5.674
0.000 5.674 2.456
2.770 5.674 4.359
1.385 3.408 3.408
4.155 3.408 3.408
```

Properties
DFT formation energy   -0.0925 eV per atom
Spin magnetization   0.0 μB per formula unit
Density   7.01 Mg/m³
Symmetry   P4/mcc
N(E_F)   18.30 states/eV per cell

---

# 4
# LaMgAl2

A relaxed structure of LaMgAl2 (PBE-GGA, the Alexandria database).

Cell and atoms, written as POSCAR:
```
LaMgAl2
1.0
-4.952 2.008 -0.161
-4.588 -0.207 -2.736
-3.184 -3.878 2.885
Al La Mg
2 1 1
Cartesian
-9.442 -1.767 0.185
-0.179 -0.004 -0.022
-6.308 -1.138 0.087
-3.158 -0.207 -0.269
```

Properties
DFT formation energy   -0.0985 eV per atom
Spin magnetization   0.0 μB per formula unit
Density   3.73 Mg/m³
Symmetry   Cm
N(E_F)   2.16 states/eV per cell